No. 1
La8Ir3PbI4 PBE optimized geometry; N(E_F) = 12.640 states/eV per cell; crystal system = monoclinic; total energy = -5.74 eV/atom
1.0
8.780 0.000 0.000
0.000 9.590 0.565
-4.390 -4.398 6.216
La Ir Pb I
8 3 1 4
Direct
0.244 0.690 0.947 La
0.244 0.690 0.487 La
0.269 0.309 0.538 La
0.703 0.690 0.947 La
0.297 0.310 0.053 La
0.731 0.691 0.462 La
0.756 0.310 0.513 La
0.756 0.310 0.053 La
0.500 0.500 0.000 Ir
0.500 0.500 0.500 Ir
0.000 0.500 0.500 Ir
0.000 0.500 0.000 Pb
0.500 0.000 0.000 I
0.500 0.000 0.500 I
0.000 0.000 0.000 I
0.000 0.000 0.500 I

***

No. 2
CeNiAs2Ru PBE optimized geometry; N(E_F) = 7.803 states/eV per cell; formation energy = -0.688 eV per atom; crystal system = tetragonal; total energy = -6.75 eV/atom
1.0
-2.145 3.187 0.963
0.433 -0.869 3.839
5.555 1.951 -2.228
Ce Ni As Ru
1 1 2 1
Direct
0.000 0.000 0.000 Ce
0.250 0.750 0.500 Ni
0.626 0.626 0.251 As
0.374 0.374 0.749 As
0.750 0.250 0.500 Ru

***

No. 3
CsRbNbF2 PBE optimized geometry; N(E_F) = 2.177 states/eV per cell; crystal system = tetragonal; total energy = -3.35 eV/atom
1.0
-0.968 4.320 -3.260
0.755 -3.852 -5.329
-5.376 -1.151 0.071
Cs Nb Rb F
1 1 1 2
Direct
0.000 0.000 0.000 Cs
0.500 0.500 0.500 Nb
0.000 0.500 0.000 Rb
0.000 0.000 0.500 F
0.500 0.000 0.000 F

***

No. 4
Ac5IrPd4 PBE optimized geometry; N(E_F) = 6.725 states/eV per cell; formation energy = -0.756 eV per atom; crystal system = tetragonal; total energy = -5.77 eV/atom
1.0
5.596 0.000 2.699
2.798 6.953 1.350
-0.223 0.000 7.613
Ac Ir Pd
5 1 4
Direct
0.903 0.388 0.808 Ac
0.291 0.808 0.612 Ac
0.711 0.192 0.388 Ac
0.099 0.612 0.192 Ac
0.501 0.000 0.000 Ac
0.001 0.000 0.000 Ir
0.405 0.399 0.793 Pd
0.804 0.793 0.601 Pd
0.198 0.207 0.399 Pd
0.597 0.601 0.207 Pd

***

No. 5
CaScMn2 PBE optimized geometry; N(E_F) = 6.057 states/eV per cell; formation energy = 0.311 eV per atom; crystal system = tetragonal; total energy = -6.36 eV/atom
1.0
3.435 0.000 0.000
0.000 3.435 0.000
0.000 0.000 7.205
Sc Ca Mn
1 1 2
Direct
0.500 0.500 0.250 Sc
0.500 0.500 0.750 Ca
0.000 0.000 0.049 Mn
0.000 0.000 0.451 Mn

***

No. 6
Tb6Co2Sb PBE optimized geometry; N(E_F) = 13.152 states/eV per cell; crystal system = orthorhombic; total energy = -5.48 eV/atom
1.0
8.422 0.016 -0.026
-3.176 7.800 0.026
-2.833 -3.767 6.980
Tb Co Sb
12 4 2
Direct
0.532 0.716 0.817 Tb
0.468 0.284 0.183 Tb
0.101 0.284 0.817 Tb
0.899 0.716 0.183 Tb
0.794 0.765 0.559 Tb
0.206 0.235 0.441 Tb
0.206 0.765 0.970 Tb
0.794 0.235 0.030 Tb
0.684 0.359 0.676 Tb
0.316 0.641 0.324 Tb
0.316 0.992 0.676 Tb
0.684 0.008 0.324 Tb
0.500 0.389 0.889 Co
0.500 0.611 0.111 Co
0.657 0.000 0.657 Co
0.343 0.000 0.343 Co
0.000 0.500 0.500 Sb
0.000 0.000 0.000 Sb

***

No. 7
LaTlFe2 PBE optimized geometry; N(E_F) = 2.776 states/eV per cell; formation energy = 0.184 eV per atom; crystal system = trigonal; total energy = -5.87 eV/atom
1.0
-0.917 1.911 -4.052
-4.087 -0.632 -1.951
-3.336 4.344 0.224
Fe La Tl
2 1 1
Direct
0.934 0.934 0.197 Fe
0.566 0.566 0.303 Fe
0.750 0.750 0.750 La
0.250 0.250 0.250 Tl

***

No. 8
FeCoMoRu2 PBE optimized geometry; N(E_F) = 9.792 states/eV per cell; formation energy = 1.646 eV per atom; crystal system = tetragonal; total energy = -7.34 eV/atom
1.0
4.336 0.000 0.000
0.000 4.343 0.000
0.000 0.000 4.336
Ru Mo Co Fe
2 1 1 1
Direct
0.000 0.000 0.500 Ru
0.500 0.000 0.000 Ru
0.000 0.500 0.000 Mo
0.000 0.000 0.000 Co
0.500 0.500 0.500 Fe